[1]
22
Lattice="-6.438 -1.819 -2.114 4.619 -4.819 -2.160 0.137 0.397 7.003" Properties=species:S:1:pos:R:3 comment="Li15CoN6 (GGA-PBE, relaxed)" raw_formation_energy_kj_per_mol_fu=-403 spacegroup="Im-3m, No. 229" pbc="T T T"
Li 1.175 -0.811 4.880
Li 0.199 -4.373 2.587
Li 2.378 -2.211 2.422
N 1.279 -1.189 1.303
Li -3.876 -2.514 -2.125
N -4.606 -1.039 3.574
Li -1.324 -4.887 0.475
N -1.329 -4.852 -3.124
Li -0.909 -3.319 -2.137
Li -0.358 -1.354 2.255
Li -1.881 -1.867 0.143
Li -4.915 -1.305 -0.002
Li -3.150 -0.711 2.445
Li -2.362 -3.678 2.598
Li 0.681 -2.562 0.132
Li -1.386 -0.116 4.891
N -1.695 -0.382 1.315
N -0.489 -1.786 -1.150
Co 0.000 0.000 0.000
Li 2.058 -4.124 -2.149
N 3.477 -3.232 3.540
Li 3.581 -3.610 -0.037


[2]
11
Lattice="-0.697 2.374 -2.465 6.994 -2.285 -4.177 -12.045 -7.183 -1.040" Properties=species:S:1:pos:R:3 comment="Tb2Dy4Tm5 (GGA-PBE, relaxed)" e_form_mev_per_atom=104.0 spacegroup="C2/m, No. 12" pbc="T T T"
Dy 0.850 -0.977 -3.656
Dy -6.599 -6.117 -4.027
Tm -7.433 -2.816 -3.085
Dy -9.927 -4.937 -4.423
Tm -1.732 -2.044 -1.479
Tb -4.183 -4.182 -2.846
Tm 1.685 -4.278 -4.597
Tb -1.565 -2.913 -4.837
Dy 4.179 -2.158 -3.259
Tm -0.348 1.187 -1.232
Tm -4.016 -5.051 -6.204


[3]
18
Lattice="3.988 0.000 0.000 -1.994 9.187 0.000 0.000 0.000 13.103" Properties=species:S:1:pos:R:3 comment="SmInSn2S5 (GGA-PBE, relaxed)" raw_formation_energy_kj_per_mol_fu=-761 spacegroup="Cmc2_1, No. 36" pbc="T T T"
In 1.994 0.734 12.211
Sn 1.994 6.720 10.761
Sm 0.000 3.600 0.236
S 0.000 0.697 0.612
Sn 0.000 2.467 4.209
S 1.994 0.680 3.668
S 1.994 2.830 6.835
S 0.000 5.399 8.779
S 0.000 8.508 10.220
S 0.000 6.357 0.283
Sm 1.994 5.588 6.787
S 1.994 3.788 2.228
S 0.000 6.010 4.886
In 0.000 8.453 5.660
Sn 1.994 6.462 2.118
S 1.994 3.177 11.438
Sn 0.000 2.725 8.670
S 1.994 8.491 7.164


[4]
7
Lattice="-0.989 -2.725 1.947 4.451 -4.277 -6.859 4.455 2.988 6.448" Properties=species:S:1:pos:R:3 comment="Pm2NdEr2Tm2 (GGA-PBE, relaxed)" e_form_mev_per_atom=152.6 spacegroup="C2/m, No. 12" pbc="T T T"
Pm 4.737 -0.313 5.102
Er 3.479 -3.492 0.011
Tm 6.808 -2.553 -0.114
Tm 1.108 -1.462 1.649
Pm 3.179 -3.702 -3.567
Nd 2.228 1.494 3.224
Er 4.437 -0.522 1.524


[5]
16
Lattice="7.163 0.000 -3.381 -1.596 6.983 -3.381 -0.031 -0.039 9.212" Properties=species:S:1:pos:R:3 comment="Ca5CdPd2 (GGA-PBE, relaxed)" e_form_mev_per_atom=-517.7 spacegroup="I4/mcm, No. 140" pbc="T T T"
Ca 1.361 0.185 5.950
Ca 2.783 3.491 -3.381
Ca 4.672 1.368 3.686
Ca -0.651 3.676 4.832
Ca 4.175 6.759 -3.501
Pd 4.301 0.902 -2.565
Ca 0.864 5.576 -1.237
Pd 0.334 2.589 -1.691
Ca 2.875 2.084 -0.120
Cd 1.376 1.726 2.915
Pd 5.233 4.394 -5.072
Ca 0.000 0.000 0.000
Cd 4.160 5.218 -0.466
Ca 6.186 3.268 -2.383
Pd 1.266 6.081 -4.198
Ca 2.660 4.859 2.568


[6]
10
Lattice="-2.880 3.565 -0.974 -2.248 -0.710 4.048 6.945 6.999 5.084" Properties=species:S:1:pos:R:3 comment="La2CeSn3Pt4 (GGA-PBE, relaxed)" e_form_mev_per_atom=-920.8 spacegroup="P-4m2, No. 115" pbc="T T T"
Ce 0.908 4.927 4.080
Pt 0.000 0.000 0.000
Pt -2.564 1.427 1.537
La 0.061 3.295 0.612
Pt 1.369 2.157 3.850
Sn 4.652 7.921 3.973
La 4.320 5.131 6.010
Sn -0.271 0.505 2.649
Sn 3.472 3.499 2.542
Pt 3.012 6.269 2.772


[7]
5
Lattice="5.129 0.000 0.000 0.000 5.129 0.000 0.000 0.000 5.078" Properties=species:S:1:pos:R:3 comment="SbAsS2Cl (GGA-PBE, relaxed)" raw_formation_energy_kj_per_mol_fu=252 spacegroup="P4/mmm, No. 123" pbc="T T T"
S 0.000 2.564 0.000
S 2.564 0.000 0.000
Cl 0.000 0.000 2.539
As 2.564 2.564 2.539
Sb 0.000 0.000 0.000


[8]
4
Lattice="4.714 0.000 0.000 2.357 4.083 0.000 2.357 1.361 3.849" Properties=species:S:1:pos:R:3 comment="ErCdPtRh (GGA-PBE, relaxed)" e_form_mev_per_atom=-734.5 spacegroup="F-43m, No. 216" pbc="T T T"
Rh 2.357 1.361 0.962
Pt 7.072 4.083 2.887
Er 0.000 0.000 0.000
Cd 4.714 2.722 1.925


[9]
4
Lattice="-0.563 1.691 -3.499 -4.415 -0.330 0.551 0.214 3.940 4.074" Properties=species:S:1:pos:R:3 comment="PmNdCuRh (GGA-PBE, relaxed)" e_form_mev_per_atom=-478.7 spacegroup="Amm2, No. 38" pbc="T T T"
Cu -2.499 1.394 -1.127
Rh -0.057 4.027 1.956
Pm -2.538 4.166 0.219
Nd -0.019 1.346 0.653


[10]
4
Lattice="3.274 0.013 0.000 -0.013 3.274 0.000 0.000 0.000 6.296" Properties=species:S:1:pos:R:3 comment="Cu2PtPb (GGA-PBE, relaxed)" e_form_mev_per_atom=77.9 spacegroup="P4mm, No. 99" pbc="T T T"
Pt 1.630 1.643 4.977
Pb 0.000 0.000 3.148
Cu 0.000 0.000 0.079
Cu 1.630 1.643 1.240


[11]
5
Lattice="4.941 0.000 0.000 0.000 5.308 0.000 0.000 0.000 4.941" Properties=species:S:1:pos:R:3 comment="ZrNiIr2Pb (GGA-PBE, relaxed)" e_form_mev_per_atom=2090.7 spacegroup="P4/mmm, No. 123" pbc="T T T"
Ir 2.470 0.000 0.000
Ir 0.000 0.000 2.470
Zr 0.000 2.654 0.000
Ni 2.470 2.654 2.470
Pb 0.000 0.000 0.000


[12]
6
Lattice="-0.304 3.407 0.720 -2.927 -0.641 1.800 5.681 -1.343 8.760" Properties=species:S:1:pos:R:3 comment="Dy3ZnCu2 (GGA-PBE, relaxed)" e_form_mev_per_atom=-282.9 spacegroup="P4/mmm, No. 123" pbc="T T T"
Dy 3.816 -0.902 5.884
Zn 1.225 0.711 5.640
Dy 0.000 0.000 0.000
Cu 3.119 0.264 8.559
Cu -0.668 1.159 2.720
Dy 1.865 -0.441 2.876